# GGA+U PrNiSe2O6, relaxed
data_PrNiSe2O6
_chemical_formula_sum 'Pr3 Ni3 Se6 O18'
_symmetry_space_group_name_H-M 'R -3'
_symmetry_Int_Tables_number 148
_symmetry_space_group_name_Hall '-R 3'
_cell_length_a 5.2210
_cell_length_b 5.2210
_cell_length_c 17.7561
_cell_angle_alpha 90.00
_cell_angle_beta 90.00
_cell_angle_gamma 120.00
loop_
_atom_site_label
_atom_site_fract_x
_atom_site_fract_y
_atom_site_fract_z
Pr1 0.0000 0.0000 0.0000
Ni1 0.0000 0.0000 0.5000
Se1 0.0000 0.0000 0.2057
O1 0.0085 0.3903 0.9175
# - total magnetization (μB per formula unit) = 1.53
# - DFT total energy (eV/atom) = -5.646